[1]
## Cs2CrH2Cl5O (PBEsol)

Data for a geometry-optimized Cs2CrH2Cl5O structure.

Properties
E_tot (eV/atom): -4.54
Theoretical density (kg/m3): 3443
SG: Cmcm
Crystal system: orthorhombic

Unit cell a=7.2487 b=7.8982 c=9.3733 alpha=90.00 beta=112.75 gamma=90.00
Each line ends with the local moment (μB).
Fractional coordinates of all 22 atoms:
O 0.5045 0.2500 0.0090  0.00
O 0.4955 0.7500 0.9910  0.00
Cl 0.6127 0.0381 0.7797  -0.01
Cl 0.1671 0.0381 0.7797  -0.01
Cl 0.8329 0.5381 0.2203  -0.01
Cl 0.8329 0.9619 0.2203  -0.01
Cl 0.1671 0.4619 0.7797  -0.01
Cl 0.3873 0.5381 0.2203  -0.01
Cl 0.3873 0.9619 0.2203  -0.01
Cl 0.2541 0.2500 0.5081  -0.01
Cl 0.7459 0.7500 0.4919  -0.01
Cl 0.6127 0.4619 0.7797  -0.01
Cr 0.6143 0.7500 0.2285  2.82
Cr 0.3857 0.2500 0.7715  2.82
Cs 0.2513 0.7500 0.5026  0.00
Cs 0.9744 0.7500 0.9488  0.00
Cs 0.0256 0.2500 0.0512  0.00
Cs 0.7487 0.2500 0.4974  0.00
H 0.5375 0.3523 0.0750  0.00
H 0.4625 0.8523 0.9250  0.00
H 0.5375 0.1477 0.0750  0.00
H 0.4625 0.6477 0.9250  0.00

---

[2]
## Fe3Co4 (PBEsol)

Data for a geometry-optimized Fe3Co4 structure.

Properties
E_tot (eV/atom): -8.22
Theoretical density (kg/m3): 8864
SG: R3
Energy relative to the lowest polymorph listed for this composition (kcal/mol of atoms): 0.91
ΔE_f (eV/atom): 0.04
Crystal system: trigonal

Unit cell a=2.4165 b=6.0619 c=6.0619 alpha=118.26 beta=97.64 gamma=97.64
Each line ends with the local moment (μB).
Fractional coordinates of all 7 atoms:
Co 0.7046 0.2867 0.8585  1.73
Co 0.4179 0.5718 0.7133  1.73
Co 0.0315 0.0000 0.0000  1.72
Co 0.8461 0.1415 0.4282  1.73
Fe 0.1441 0.8594 0.5730  2.55
Fe 0.2847 0.7136 0.1406  2.55
Fe 0.5711 0.4270 0.2864  2.55

---

[3]
## La3Mn (PBEsol)

Data for a geometry-optimized La3Mn structure.

Properties
E_tot (eV/atom): -6.06
Theoretical density (kg/m3): 6745
SG: P-6m2
ΔE_f (eV/atom): 0.39
Crystal system: hexagonal

Unit cell a=3.5068 b=3.5068 c=10.9028 alpha=90.00 beta=90.00 gamma=120.00
Each line ends with the local moment (μB).
Fractional coordinates of all 4 atoms:
La 0.0000 0.0000 0.2872  0.05
La 0.3333 0.6667 0.0000  -0.06
La 0.0000 0.0000 0.7128  0.05
Mn 0.3333 0.6667 0.5000  -3.56

---

[4]
## BaNi2W (PBEsol)

Data for a geometry-optimized BaNi2W structure.

Properties
E_tot (eV/atom): -6.44
Theoretical density (kg/m3): 10161
SG: P4mm
ΔE_f (eV/atom): 0.62
Crystal system: tetragonal

Unit cell a=3.1072 b=3.1072 c=7.4237 alpha=90.00 beta=90.00 gamma=90.00
Fractional coordinates of all 4 atoms:
W 0.0000 0.0000 0.4029
Ni 0.0000 0.0000 0.0840
Ni 0.5000 0.5000 0.2440
Ba 0.5000 0.5000 0.7691

---

[5]
## KNbAs2 (PBEsol)

Data for a geometry-optimized KNbAs2 structure.

Properties
E_tot (eV/atom): -5.65
Theoretical density (kg/m3): 3476
SG: I-42d
ΔE_f (eV/atom): -0.11
Crystal system: tetragonal

Unit cell a=7.0391 b=7.3693 c=7.0391 alpha=61.47 beta=90.00 gamma=118.53
Fractional coordinates of all 8 atoms:
As 0.7323 0.7500 0.3750
As 0.3750 0.2500 0.0177
As 0.8750 0.2500 0.7323
As 0.0177 0.7500 0.8750
K 0.5000 0.0000 0.5000
K 0.2500 0.5000 0.2500
Nb 0.7500 0.5000 0.7500
Nb 0.0000 0.0000 0.0000

---

[6]
## Li3Au (PBEsol)

Data for a geometry-optimized Li3Au structure.

Properties
E_tot (eV/atom): -2.80
Theoretical density (kg/m3): 5848
SG: Cmcm
ΔE_f (eV/atom): -0.34
Crystal system: orthorhombic

Unit cell a=4.4048 b=5.3081 c=5.3081 alpha=94.80 beta=90.00 gamma=90.00
Fractional coordinates of all 8 atoms:
Li 0.2500 0.8134 0.4227
Li 0.7500 0.1866 0.5773
Li 0.7500 0.0869 0.0869
Li 0.7500 0.5773 0.1866
Li 0.2500 0.4227 0.8134
Li 0.2500 0.9131 0.9131
Au 0.7500 0.7023 0.7023
Au 0.2500 0.2977 0.2977

---

[7]
## Dy2WO6 (PBEsol)

Data for a geometry-optimized Dy2WO6 structure.

Properties
E_tot (eV/atom): -9.23
Theoretical density (kg/m3): 8788
SG: Pbca
Energy relative to the lowest polymorph listed for this composition (kcal/mol of atoms): 0.16
Formation energy without anion corrections (meV per atom): -3095
Crystal system: orthorhombic

Unit cell a=5.5054 b=10.5192 c=15.7881 alpha=90.00 beta=90.00 gamma=90.00
Fractional coordinates of all 72 atoms:
O 0.1621 0.7695 0.8281
O 0.5897 0.4859 0.8930
O 0.3244 0.0606 0.7351
O 0.8876 0.9553 0.4247
O 0.6621 0.2305 0.6719
O 0.5897 0.9859 0.6070
O 0.3244 0.5606 0.7649
O 0.0897 0.0141 0.8930
O 0.8244 0.9394 0.7649
O 0.6783 0.7292 0.6452
O 0.6783 0.2292 0.8548
O 0.4232 0.7133 0.9775
O 0.0897 0.5141 0.6070
O 0.3379 0.7695 0.3281
O 0.8379 0.7305 0.3281
O 0.1621 0.2695 0.6719
O 0.8244 0.4394 0.7351
O 0.6756 0.9394 0.2649
O 0.1756 0.5606 0.2649
O 0.0768 0.7133 0.4775
O 0.6756 0.4394 0.2351
O 0.3217 0.7708 0.1452
O 0.3876 0.0447 0.0753
O 0.8217 0.7292 0.1452
O 0.5768 0.2867 0.0225
O 0.9103 0.9859 0.1070
O 0.1783 0.2708 0.8548
O 0.9232 0.2867 0.5225
O 0.4103 0.5141 0.1070
O 0.1783 0.7708 0.6452
O 0.3379 0.2695 0.1719
O 0.3876 0.5447 0.4247
O 0.3217 0.2708 0.3548
O 0.8379 0.2305 0.1719
O 0.6124 0.9553 0.9247
O 0.6621 0.7305 0.8281
O 0.8217 0.2292 0.3548
O 0.8876 0.4553 0.0753
O 0.1124 0.5447 0.9247
O 0.1756 0.0606 0.2351
O 0.1124 0.0447 0.5753
O 0.9103 0.4859 0.3930
O 0.6124 0.4553 0.5753
O 0.4232 0.2133 0.5225
O 0.9232 0.7867 0.9775
O 0.4103 0.0141 0.3930
O 0.0768 0.2133 0.0225
O 0.5768 0.7867 0.4775
Dy 0.4513 0.3552 0.7693
Dy 0.1006 0.1413 0.4386
Dy 0.6006 0.3587 0.4386
Dy 0.3994 0.1413 0.9386
Dy 0.0487 0.3552 0.2693
Dy 0.6006 0.8587 0.0614
Dy 0.9513 0.1448 0.7693
Dy 0.4513 0.8552 0.7307
Dy 0.9513 0.6448 0.7307
Dy 0.1006 0.6413 0.0614
Dy 0.8994 0.3587 0.9386
Dy 0.3994 0.6413 0.5614
Dy 0.5487 0.1448 0.2693
Dy 0.0487 0.8552 0.2307
Dy 0.8994 0.8587 0.5614
Dy 0.5487 0.6448 0.2307
W 0.8888 0.8800 0.8787
W 0.1112 0.1200 0.1213
W 0.6112 0.3800 0.1213
W 0.3888 0.6200 0.8787
W 0.6112 0.8800 0.3787
W 0.1112 0.6200 0.3787
W 0.8888 0.3800 0.6213
W 0.3888 0.1200 0.6213

---

[8]
## CaHg2Os (PBEsol)

Data for a geometry-optimized CaHg2Os structure.

Properties
E_tot (eV/atom): -3.50
Theoretical density (kg/m3): 13450
SG: Pmm2
ΔE_f (eV/atom): 0.37
Crystal system: orthorhombic

Unit cell a=2.9891 b=4.3678 c=5.9714 alpha=90.00 beta=90.03 gamma=90.00
Fractional coordinates of all 4 atoms:
Ca 0.5006 0.5000 0.7423
Hg 0.0004 0.0000 0.0033
Hg 0.4990 0.5000 0.2694
Os 0.0001 0.0000 0.4851

---

[9]
## Al2InOs (PBEsol)

Data for a geometry-optimized Al2InOs structure.

Properties
E_tot (eV/atom): -5.56
Theoretical density (kg/m3): 8640
SG: Cmm2
ΔE_f (eV/atom): 0.28
Crystal system: orthorhombic

Unit cell a=2.8433 b=2.8433 c=9.5413 alpha=90.00 beta=90.00 gamma=116.55
Fractional coordinates of all 4 atoms:
Al 0.5000 0.5000 0.7731
Al 0.0000 0.0000 0.0219
Os 0.5000 0.5000 0.2274
In 0.0000 0.0000 0.4777

---

[10]
## YSc2Rh (PBEsol)

Data for a geometry-optimized YSc2Rh structure.

Properties
E_tot (eV/atom): -7.48
Theoretical density (kg/m3): 5441
SG: P4/mmm
Energy relative to the lowest polymorph listed for this composition (kcal/mol of atoms): 0.83
ΔE_f (eV/atom): -0.43
Crystal system: tetragonal

Unit cell a=3.2504 b=3.2504 c=8.1379 alpha=90.00 beta=90.00 gamma=90.00
Fractional coordinates of all 4 atoms:
Rh 0.5000 0.5000 0.5000
Sc 0.0000 0.0000 0.6880
Sc 0.0000 0.0000 0.3120
Y 0.5000 0.5000 0.0000

---

[11]
## FeMo2Cl (PBEsol)

Data for a geometry-optimized FeMo2Cl structure.

Properties
E_tot (eV/atom): -8.29
Theoretical density (kg/m3): 7949
SG: Cmm2
Energy relative to the lowest polymorph listed for this composition (kcal/mol of atoms): 0.71
Formation energy without anion corrections (meV per atom): 337
Crystal system: orthorhombic

Unit cell a=2.7955 b=2.7955 c=8.1523 alpha=90.00 beta=90.00 gamma=111.81
Each line ends with the local moment (μB).
Fractional coordinates of all 4 atoms:
Fe 0.5000 0.5000 0.2498  2.59
Mo 0.5000 0.5000 0.7554  -0.06
Mo 0.0000 0.0000 0.0086  -0.08
Cl 0.0000 0.0000 0.4863  0.06

---

[12]
## MgHg5 (PBEsol)

Data for a geometry-optimized MgHg5 structure.

Properties
E_tot (eV/atom): -0.85
Theoretical density (kg/m3): 12690
SG: R32
ΔE_f (eV/atom): -0.09
Crystal system: trigonal

Unit cell a=5.2712 b=5.2712 c=6.3616 alpha=65.53 beta=65.53 gamma=60.00
Fractional coordinates of all 6 atoms:
Hg 0.5000 0.8367 0.5000
Hg 0.1633 0.5000 0.5000
Hg 0.6630 0.6630 0.0111
Hg 0.3370 0.3370 0.9889
Hg 0.8367 0.1633 0.5000
Mg 0.0000 0.0000 0.0000

---

[13]
## CrSe8 (PBEsol)

Data for a geometry-optimized CrSe8 structure.

Properties
E_tot (eV/atom): -4.37
Theoretical density (kg/m3): 4881
SG: I4/mmm
Formation energy without anion corrections (meV per atom): 188
Crystal system: tetragonal

Unit cell a=3.8061 b=8.0456 c=8.0456 alpha=86.79 beta=76.32 gamma=76.32
Each line ends with the local moment (μB).
Fractional coordinates of all 9 atoms:
Cr 0.0000 0.0000 0.0000  3.24
Se 0.7800 0.2200 0.2200  -0.04
Se 0.2200 0.7800 0.7800  -0.04
Se 0.0000 0.7800 0.2200  -0.04
Se 0.3202 0.3595 0.0000  -0.01
Se 0.6798 0.0000 0.6405  -0.01
Se 0.0000 0.2200 0.7800  -0.04
Se 0.6798 0.6405 0.0000  -0.01
Se 0.3202 0.0000 0.3595  -0.01

---

[14]
## Pr3Si2S8I (PBEsol)

Data for a geometry-optimized Pr3Si2S8I structure.

Properties
E_tot (eV/atom): -6.06
Theoretical density (kg/m3): 4366
SG: C2/c
Formation energy without anion corrections (meV per atom): -1500
Crystal system: monoclinic

Unit cell a=7.8008 b=8.7883 c=10.7800 alpha=97.07 beta=90.00 gamma=116.35
Fractional coordinates of all 28 atoms:
Si 0.6229 0.3200 0.0296
Si 0.3771 0.6800 0.9704
Si 0.6971 0.3200 0.5296
Si 0.3029 0.6800 0.4704
S 0.2797 0.8673 0.9561
S 0.7203 0.1327 0.0439
S 0.4517 0.7014 0.1626
S 0.6014 0.7085 0.8514
S 0.4124 0.1327 0.5439
S 0.8929 0.2915 0.6486
S 0.1071 0.7085 0.3514
S 0.7504 0.2986 0.3374
S 0.3986 0.2915 0.1486
S 0.2496 0.7014 0.6626
S 0.1454 0.4327 0.9143
S 0.2873 0.4327 0.4143
S 0.5876 0.8673 0.4561
S 0.8546 0.5673 0.0857
S 0.7127 0.5673 0.5857
S 0.5483 0.2986 0.8374
Pr 0.9233 0.6031 0.8185
Pr 0.5976 0.0000 0.7500
Pr 0.4024 0.0000 0.2500
Pr 0.6798 0.6031 0.3185
Pr 0.3202 0.3969 0.6815
Pr 0.0767 0.3969 0.1815
I 0.9860 0.0000 0.2500
I 0.0140 0.0000 0.7500

---

[15]
## CaTl2Pb (PBEsol)

Data for a geometry-optimized CaTl2Pb structure.

Properties
E_tot (eV/atom): -3.08
Theoretical density (kg/m3): 9536
SG: P2/m
ΔE_f (eV/atom): -0.23
Crystal system: monoclinic

Unit cell a=3.5418 b=5.7254 c=5.6455 alpha=90.00 beta=90.00 gamma=93.69
Fractional coordinates of all 4 atoms:
Tl 0.7356 0.7554 0.0000
Tl 0.2644 0.2446 0.0000
Pb 0.5000 0.0000 0.5000
Ca 0.0000 0.5000 0.5000

---

[16]
## CsBaSb2Te (PBEsol)

Data for a geometry-optimized CsBaSb2Te structure.

Properties
E_tot (eV/atom): -2.73
Theoretical density (kg/m3): 4765
SG: P4/mmm
Formation energy without anion corrections (meV per atom): 414
Crystal system: tetragonal

Unit cell a=5.9937 b=5.9937 c=6.2215 alpha=90.00 beta=90.00 gamma=90.00
Fractional coordinates of all 5 atoms:
Cs 0.0000 0.0000 0.0000
Te 0.0000 0.0000 0.5000
Sb 0.5000 0.0000 0.0000
Sb 0.0000 0.5000 0.0000
Ba 0.5000 0.5000 0.5000

---

[17]
## GaNiTeN2 (PBEsol)

Data for a geometry-optimized GaNiTeN2 structure.

Properties
E_tot (eV/atom): -4.93
Theoretical density (kg/m3): 6308
SG: P4/mmm
Formation energy without anion corrections (meV per atom): 1087
Crystal system: tetragonal

Unit cell a=3.7830 b=3.7830 c=5.2250 alpha=90.00 beta=90.00 gamma=90.00
Each line ends with the local moment (μB).
Fractional coordinates of all 5 atoms:
N 0.0000 0.5000 0.0000  0.78
N 0.5000 0.0000 0.0000  0.78
Ga 0.5000 0.5000 0.5000  -0.01
Te 0.0000 0.0000 0.5000  0.04
Ni 0.0000 0.0000 0.0000  0.54

---

[18]
## Sb5P6O24 (PBEsol)

Data for a geometry-optimized Sb5P6O24 structure.

Properties
E_tot (eV/atom): -7.06
Theoretical density (kg/m3): 3862
SG: P1
Formation energy without anion corrections (meV per atom): -1816
Crystal system: triclinic

Unit cell a=8.5093 b=8.6838 c=8.8439 alpha=106.14 beta=110.90 gamma=110.64
Each line ends with the local moment (μB).
Fractional coordinates of all 35 atoms:
P 0.1352 0.7351 0.8420  0.00
P 0.2420 0.6050 0.3767  0.00
P 0.7387 0.8500 0.1235  0.00
P 0.6265 0.3884 0.2320  0.00
P 0.3779 0.2908 0.6832  0.01
P 0.8734 0.1102 0.7393  0.01
O 0.9549 0.7025 0.8691  0.13
O 0.0715 0.6813 0.6394  0.00
O 0.5641 0.7481 0.1473  0.00
O 0.5463 0.3911 0.6535  0.10
O 0.1877 0.7587 0.4098  0.02
O 0.6535 0.2877 0.3457  0.00
O 0.6614 0.3164 0.0714  0.00
O 0.4282 0.4395 0.8655  0.00
O 0.3831 0.1203 0.7053  0.02
O 0.8086 0.0874 0.5458  0.00
O 0.1751 0.5755 0.8649  0.01
O 0.8606 0.9261 0.7385  0.08
O 0.4378 0.6811 0.5536  0.11
O 0.1758 0.2153 0.5268  0.00
O 0.3081 0.9290 0.9688  0.02
O 0.0952 0.2506 0.8686  0.01
O 0.7647 0.5991 0.3432  0.01
O 0.4199 0.3687 0.1570  0.00
O 0.0839 0.4153 0.3220  0.00
O 0.9099 0.8270 0.2174  0.00
O 0.6687 0.7843 0.9154  0.01
O 0.7621 0.1721 0.8215  0.01
O 0.7886 0.0569 0.1969  0.00
O 0.2759 0.6057 0.2143  0.00
Sb 0.9382 0.2864 0.4565  0.00
Sb 0.3255 0.5003 0.0257  0.00
Sb 0.0224 0.8384 0.4851  0.00
Sb 0.6908 0.6661 0.7004  0.24
Sb 0.5498 0.0558 0.8855  0.01

---

[19]
## MnMo2Os (PBEsol)

Data for a geometry-optimized MnMo2Os structure.

Properties
E_tot (eV/atom): -11.13
Theoretical density (kg/m3): 12985
SG: Cmmm
Energy relative to the lowest polymorph listed for this composition (kcal/mol of atoms): 1.54
ΔE_f (eV/atom): 0.25
Crystal system: orthorhombic

Unit cell a=2.6617 b=2.6617 c=8.3718 alpha=90.00 beta=90.00 gamma=109.56
Each line ends with the local moment (μB).
Fractional coordinates of all 4 atoms:
Mo 0.0000 0.0000 0.7632  -0.13
Mo 0.0000 0.0000 0.2368  -0.13
Mn 0.5000 0.5000 0.0000  1.54
Os 0.5000 0.5000 0.5000  -0.13

---

[20]
## HgTeHI2 (PBEsol)

Data for a geometry-optimized HgTeHI2 structure.

Properties
E_tot (eV/atom): -1.88
Theoretical density (kg/m3): 7743
SG: P4/mmm
Crystal system: tetragonal

Unit cell a=3.8583 b=5.6926 c=5.6926 alpha=90.00 beta=90.00 gamma=90.00
Fractional coordinates of all 5 atoms:
H 0.0000 0.0000 0.0000
Hg 0.5000 0.5000 0.5000
I 0.0000 0.0000 0.5000
I 0.0000 0.5000 0.0000
Te 0.5000 0.0000 0.0000